(1)
Below is an optimized crystal structure of Rb3Pr3ReO8, with properties calculated at the PBE level.

Cell and atoms, written as CIF:
```
data_Rb3Pr3ReO8
_symmetry_space_group_name_H-M 'P 1'
_symmetry_Int_Tables_number 1
_symmetry_space_group_name_Hall 'P 1'
_cell_length_a 7.1320
_cell_length_b 7.1322
_cell_length_c 7.8045
_cell_angle_alpha 117.20
_cell_angle_beta 90.00
_cell_angle_gamma 120.00
loop_
_atom_site_label
_atom_site_fract_x
_atom_site_fract_y
_atom_site_fract_z
Rb1 0.0000 0.5000 0.0000
Rb2 0.0000 0.0000 0.0000
Rb3 0.5000 0.5000 0.0000
O1 0.2728 0.5455 0.3184
O2 0.2027 0.9629 0.6654
O3 0.7973 0.5947 0.3345
O4 0.2397 0.0371 0.3346
O5 0.7603 0.9629 0.6654
O6 0.2027 0.4053 0.6655
O7 0.7973 0.0371 0.3346
O8 0.7272 0.4545 0.6816
Re1 0.0000 0.0000 0.5000
Pr1 0.5000 0.0000 0.5000
Pr2 0.0000 0.5000 0.5000
Pr3 0.5000 0.5000 0.5000
```

Values from the calculation:
Formation energy without anion corrections in meV/atom: -2242

---

(2)
Below is an optimized crystal structure of Tm6Sn3C2, with properties calculated at the PBE level.

Cell and atoms, written as CIF:
```
data_Tm6Sn3C2
_symmetry_space_group_name_H-M 'P 1'
_symmetry_Int_Tables_number 1
_symmetry_space_group_name_Hall 'P 1'
_cell_length_a 4.7140
_cell_length_b 4.7140
_cell_length_c 12.6959
_cell_angle_alpha 100.70
_cell_angle_beta 100.70
_cell_angle_gamma 90.00
loop_
_atom_site_label
_atom_site_fract_x
_atom_site_fract_y
_atom_site_fract_z
Sn1 0.0000 0.0000 0.0000
Sn2 0.8220 0.8220 0.6440
Sn3 0.1780 0.1780 0.3560
Tm1 0.6942 0.6942 0.3885
Tm2 0.3058 0.3058 0.6115
Tm3 0.5839 0.0839 0.1678
Tm4 0.9161 0.4161 0.8322
Tm5 0.0839 0.5839 0.1678
Tm6 0.4161 0.9161 0.8322
C1 0.6023 0.6024 0.2047
C2 0.3977 0.3976 0.7953
```

Values from the calculation:
Calculated formation energy in eV per atom: -0.491

---

(3)
Below is an optimized crystal structure of LaEuThIn, with properties calculated at the PBE level.

Cell and atoms, written as CIF:
```
data_LaEuThIn
_symmetry_space_group_name_H-M 'P 1'
_symmetry_Int_Tables_number 1
_symmetry_space_group_name_Hall 'P 1'
_cell_length_a 5.6379
_cell_length_b 5.6379
_cell_length_c 5.6379
_cell_angle_alpha 60.00
_cell_angle_beta 60.00
_cell_angle_gamma 60.00
loop_
_atom_site_label
_atom_site_fract_x
_atom_site_fract_y
_atom_site_fract_z
Th1 0.0000 0.0000 0.0000
In1 0.2500 0.2500 0.2500
Eu1 0.7500 0.7500 0.7500
La1 0.5000 0.5000 0.5000
```

Values from the calculation:
Calculated formation energy in eV per atom: -0.052

---

(4)
Below is an optimized crystal structure of LiZrIr2, with properties calculated at the PBE level.

Cell and atoms, written as CIF:
```
data_LiZrIr2
_symmetry_space_group_name_H-M 'P 1'
_symmetry_Int_Tables_number 1
_symmetry_space_group_name_Hall 'P 1'
_cell_length_a 2.8630
_cell_length_b 4.0664
_cell_length_c 5.3994
_cell_angle_alpha 90.00
_cell_angle_beta 90.00
_cell_angle_gamma 90.00
loop_
_atom_site_label
_atom_site_fract_x
_atom_site_fract_y
_atom_site_fract_z
Zr1 0.5000 0.5000 0.7572
Li1 0.0000 0.0000 0.4692
Ir1 0.0000 0.0000 0.0038
Ir2 0.5000 0.5000 0.2698
```

Values from the calculation:
Energy above the most stable polymorph in this dataset in eV/atom: 0.266
Calculated formation energy in eV per atom: -0.303

---

Number 1: total magnetization 0.2000 μB/atom. Number 2: total magnetization 0.0000 μB/atom. Number 3: total magnetization 1.8769 μB/atom. Number 4: total magnetization 0.0000 μB/atom.